# Rb2FeCoF6, relaxed, DFT GGA+U
data_Rb2FeCoF6
_cell_length_a 8.4245
_cell_length_b 8.4245
_cell_length_c 8.4245
_cell_angle_alpha 90.00
_cell_angle_beta 90.00
_cell_angle_gamma 90.00
_space_group_name_H-M_alt 'F m -3 m'
_space_group_IT_number 225
_space_group_name_Hall '-F 4 2 3'
loop_
_atom_site_label
_atom_site_fract_x
_atom_site_fract_y
_atom_site_fract_z
Rb1 0.2500 0.2500 0.2500
Fe1 0.0000 0.0000 0.0000
Co1 0.0000 0.0000 0.5000
F1 0.0000 0.0000 0.2389
# - total moment (μB per formula unit) = 7.0
# - DFT total energy (eV per atom) = -4.763